No. 1
Material: SiI2F
Method: DFT, PBE
State: optimized geometry

Lattice parameters (Å, degrees): 7.2782 7.2782 8.3741 90.00 90.00 90.00
Space group I-42d (No. 122)
Asymmetric unit:
Si (0.0000, 0.0000, 0.0000) (multiplicity 4)
I (0.2335, 0.2500, 0.1250) (multiplicity 8)
F (0.0000, 0.0000, 0.5000) (multiplicity 4)

Output
For the energy above the most stable polymorph in this dataset, the calculation gives 0.000 eV/atom. The value obtained for the density of states at the Fermi level is 26.610 states/eV per cell. Its formation energy without anion corrections is -13.8 kJ/mol of atoms.

No. 2
Material: SiIF
Method: DFT, PBE
State: optimized geometry

Lattice parameters (Å, degrees): 4.9566 6.3342 6.4120 89.94 88.38 83.73
Space group P1 (No. 1)
Asymmetric unit:
Si (0.0000, 0.0000, 0.0000) (multiplicity 1)
Si (0.3722, 0.7342, 0.1363) (multiplicity 1)
I (0.2943, 0.3898, 0.3050) (multiplicity 1)
I (0.7584, 0.6436, 0.8499) (multiplicity 1)
F (0.1643, 0.0466, 0.7800) (multiplicity 1)
F (0.5444, 0.8433, 0.3127) (multiplicity 1)

Output
The value obtained for the density of states at the Fermi level is 0.000 states/eV per cell. Its formation energy without anion corrections is -110.8 kJ/mol of atoms.

No. 3
Material: TaSiIF2
Method: DFT, PBE
State: optimized geometry

Lattice parameters (Å, degrees): 4.2537 4.2537 6.1020 90.00 90.00 90.00
Space group P4/mmm (No. 123)
Asymmetric unit:
Ta (0.0000, 0.0000, 0.0000) (multiplicity 1)
Si (0.5000, 0.5000, 0.0000) (multiplicity 1)
I (0.5000, 0.5000, 0.5000) (multiplicity 1)
F (0.0000, 0.5000, 0.5000) (multiplicity 2)

Output
The value obtained for the density of states at the Fermi level is 4.043 states/eV per cell. Its formation energy without anion corrections is 51.6 kJ/mol of atoms.

No. 4
Material: Ta2SiIF
Method: DFT, PBE
State: optimized geometry

Lattice parameters (Å, degrees): 5.0332 5.0332 3.7241 90.00 90.00 90.00
Space group P4/mmm (No. 123)
Asymmetric unit:
Ta (0.0000, 0.5000, 0.0000) (multiplicity 2)
Si (0.0000, 0.0000, 0.0000) (multiplicity 1)
I (0.5000, 0.5000, 0.5000) (multiplicity 1)
F (0.0000, 0.0000, 0.5000) (multiplicity 1)

Output
The value obtained for the density of states at the Fermi level is 5.346 states/eV per cell. Its formation energy without anion corrections is 45.7 kJ/mol of atoms.